1.
DFT (PBE) results for a geometry-optimized LuHf2 structure.

Structure (POSCAR):
```
LuHf2
1.0
0.0000 6.2930 6.2930
6.2930 0.0000 6.2930
6.2930 6.2930 0.0000
Lu Hf
2 4
Cartesian
1.5733 1.5733 1.5733 Lu
11.0128 11.0128 11.0128 Lu
0.0000 0.0000 0.0000 Hf
3.1465 3.1465 0.0000 Hf
3.1465 0.0000 3.1465 Hf
0.0000 3.1465 3.1465 Hf
```

Computed properties:
- space-group type = No. 227
- E (eV per atom) = -4.495
- energy of formation (eV/atom) = 3.65

=====

2.
DFT (PBE) results for a geometry-optimized LuHfMo structure.

Structure (POSCAR):
```
LuHfMo
1.0
6.5807 0.0000 0.0000
0.0000 6.5807 0.0000
0.0000 0.0000 6.5807
Lu Hf Mo
4 4 4
Cartesian
0.0000 0.0000 0.0000 Lu
0.0000 3.2903 3.2903 Lu
3.2903 0.0000 3.2903 Lu
3.2903 3.2903 0.0000 Lu
0.0000 0.0000 3.2903 Hf
0.0000 3.2903 0.0000 Hf
3.2903 0.0000 0.0000 Hf
3.2903 3.2903 3.2903 Hf
1.6452 1.6452 4.9355 Mo
1.6452 4.9355 1.6452 Mo
4.9355 1.6452 1.6452 Mo
4.9355 4.9355 4.9355 Mo
```

Computed properties:
- space-group type = No. 216
- E (eV per atom) = -7.919
- energy of formation (eV/atom) = 0.52